The following is a DFT calculation (PBEsol) of an optimized crystal structure of CdAu3Cl.

Energy relative to the elements, uncorrected in eV per atom: 0.8852
Space group: Pm-3m (221)

Unit cell a=5.079 b=5.079 c=5.079 alpha=90.00 beta=90.00 gamma=90.00
Sites, in units of the cell vectors:
Cd  0.000  0.000  0.000
Au  0.000  0.000  0.500
Au  0.000  0.500  0.000
Au  0.500  0.000  0.000
Cl  0.500  0.500  0.500



The following is a DFT calculation (PBEsol) of an optimized crystal structure of CdAuCl.

Energy relative to the elements, uncorrected in eV per atom: 0.3271
Space group: F-43m (216)

Unit cell a=6.481 b=6.481 c=6.481 alpha=90.00 beta=90.00 gamma=90.00
Sites, in units of the cell vectors:
Cd  0.000  0.000  0.000
Cd  0.000  0.500  0.500
Cd  0.500  0.000  0.500
Cd  0.500  0.500  0.000
Au  0.000  0.000  0.500
Au  0.000  0.500  0.000
Au  0.500  0.000  0.000
Au  0.500  0.500  0.500
Cl  0.250  0.250  0.250
Cl  0.250  0.750  0.750
Cl  0.750  0.250  0.750
Cl  0.750  0.750  0.250



The following is a DFT calculation (PBEsol) of an optimized crystal structure of Cd2AuCl.

Energy relative to the elements, uncorrected in eV per atom: -0.3044
ΔE to the lowest computed polymorph in meV per atom: 0
Space group: R-3m (166)

Unit cell a=3.485 b=3.485 c=23.910 alpha=90.00 beta=90.00 gamma=120.00
Sites, in units of the cell vectors:
Cd  0.000  0.000  0.247
Cd  0.000  0.000  0.753
Cd  0.333  0.667  0.420
Cd  0.333  0.667  0.914
Cd  0.667  0.333  0.086
Cd  0.667  0.333  0.580
Au  0.000  0.000  0.500
Au  0.333  0.667  0.167
Au  0.667  0.333  0.833
Cl  0.000  0.000  0.000
Cl  0.333  0.667  0.667
Cl  0.667  0.333  0.333



The following is a DFT calculation (PBEsol) of an optimized crystal structure of Cd2AuCl.

Energy relative to the elements, uncorrected in eV per atom: -0.2595
ΔE to the lowest computed polymorph in meV per atom: 45
Space group: P4/mmm (123)

Unit cell a=3.246 b=3.246 c=7.592 alpha=90.00 beta=90.00 gamma=90.00
Sites, in units of the cell vectors:
Cd  0.000  0.000  0.226
Cd  0.000  0.000  0.774
Au  0.500  0.500  0.000
Cl  0.500  0.500  0.500



The following is a DFT calculation (PBEsol) of an optimized crystal structure of CdCo2Au.

DFT formation energy in kJ per mole of atoms: 29
Space group: I4/mmm (139)

Unit cell a=3.909 b=3.909 c=7.385 alpha=90.00 beta=90.00 gamma=90.00
Sites, in units of the cell vectors:
Cd  0.000  0.000  0.000
Cd  0.500  0.500  0.500
Co  0.000  0.500  0.250
Co  0.000  0.500  0.750
Co  0.500  0.000  0.250
Co  0.500  0.000  0.750
Au  0.000  0.000  0.500
Au  0.500  0.500  0.000



The following is a DFT calculation (PBEsol) of an optimized crystal structure of CdCoAu3.

DFT formation energy in kJ per mole of atoms: 69
Space group: Pm-3m (221)

Unit cell a=4.682 b=4.682 c=4.682 alpha=90.00 beta=90.00 gamma=90.00
Sites, in units of the cell vectors:
Cd  0.000  0.000  0.000
Co  0.500  0.500  0.500
Au  0.000  0.500  0.500
Au  0.500  0.000  0.500
Au  0.500  0.500  0.000



The following is a DFT calculation (PBEsol) of an optimized crystal structure of Cd2CoAu.

DFT formation energy in kJ per mole of atoms: 12
Space group: Pmmm (47)

Unit cell a=3.045 b=3.437 c=6.241 alpha=90.00 beta=90.00 gamma=90.00
Sites, in units of the cell vectors:
Cd  0.000  0.000  0.229
Cd  0.000  0.000  0.771
Co  0.500  0.500  0.000
Au  0.500  0.500  0.500



The following is a DFT calculation (PBEsol) of an optimized crystal structure of CdCo2Au.

DFT formation energy in kJ per mole of atoms: 29
Space group: P4/mmm (123)

Unit cell a=3.882 b=3.882 c=3.752 alpha=90.00 beta=90.00 gamma=90.00
Sites, in units of the cell vectors:
Cd  0.000  0.000  0.000
Co  0.000  0.500  0.500
Co  0.500  0.000  0.500
Au  0.500  0.500  0.000



The following is a DFT calculation (PBEsol) of an optimized crystal structure of Cd3CoAu.

DFT formation energy in kJ per mole of atoms: 91
Space group: Pm-3m (221)

Unit cell a=5.100 b=5.100 c=5.100 alpha=90.00 beta=90.00 gamma=90.00
Sites, in units of the cell vectors:
Cd  0.000  0.000  0.500
Cd  0.000  0.500  0.000
Cd  0.500  0.000  0.000
Co  0.500  0.500  0.500
Au  0.000  0.000  0.000



The following is a DFT calculation (PBEsol) of an optimized crystal structure of CdCo2AuO.

Energy relative to the elements, uncorrected in eV per atom: 0.0961
Space group: P4/mmm (123)

Unit cell a=3.709 b=3.709 c=5.329 alpha=90.00 beta=90.00 gamma=90.00
Sites, in units of the cell vectors:
Cd  0.000  0.000  0.000
Co  0.000  0.500  0.500
Co  0.500  0.000  0.500
Au  0.500  0.500  0.000
O  0.500  0.500  0.500



The following is a DFT calculation (PBEsol) of an optimized crystal structure of Cr2CdAu.

DFT formation energy in kJ per mole of atoms: 26
Space group: R3m (160)

Unit cell a=2.849 b=2.849 c=25.864 alpha=90.00 beta=90.00 gamma=120.00
Sites, in units of the cell vectors:
Cr  0.000  0.000  0.000
Cr  0.000  0.000  0.277
Cr  0.333  0.667  0.667
Cr  0.333  0.667  0.943
Cr  0.667  0.333  0.333
Cr  0.667  0.333  0.610
Cd  0.000  0.000  0.760
Cd  0.333  0.667  0.426
Cd  0.667  0.333  0.093
Au  0.000  0.000  0.523
Au  0.333  0.667  0.190
Au  0.667  0.333  0.856



The following is a DFT calculation (PBEsol) of an optimized crystal structure of CrCdAu3.

DFT formation energy in kJ per mole of atoms: 107
Space group: Pm-3m (221)

Unit cell a=5.011 b=5.011 c=5.011 alpha=90.00 beta=90.00 gamma=90.00
Sites, in units of the cell vectors:
Cr  0.000  0.000  0.000
Cd  0.500  0.500  0.500
Au  0.000  0.500  0.500
Au  0.500  0.000  0.500
Au  0.500  0.500  0.000